# Tl4RhO4 (PBE, optimized geometry)
# DOS(E_F) (states/eV/f.u.): 0.82
# Energy relative to the elements, uncorrected (meV/atom): -428
data_Tl4RhO4
_space_group_name_H-M_alt 'I -4 2 m'
_space_group_IT_number 121
_space_group_name_Hall 'I -4 2'
_cell_length_a 6.441
_cell_length_b 6.441
_cell_length_c 10.834
_cell_angle_alpha 90.00
_cell_angle_beta 90.00
_cell_angle_gamma 90.00
loop_
_atom_site_label
_atom_site_type_symbol
_atom_site_fract_x
_atom_site_fract_y
_atom_site_fract_z
Tl1 Tl 0.000 0.000 0.190
Tl2 Tl 0.000 0.500 0.000
Rh1 Rh 0.000 0.000 0.500
O1 O 0.149 0.149 0.628